1.
# PuZnAgHg

A relaxed structure of PuZnAgHg (PBE-GGA, the Alexandria database).

The structure in extended XYZ format:
```
4
Lattice="-0.390 -4.458 2.204 3.973 -2.039 2.224 0.170 -0.347 4.973" Properties=species:S:1:pos:R:3 pbc="T T T"
Pu 1.876 -3.422 4.701
Ag 0.000 0.000 0.000
Hg 0.938 -1.711 2.350
Zn 2.814 -5.133 7.051
```

The calculation puts the electronic total energy at -4.691 eV/atom. The value obtained for the energy of formation is -0.001 eV per atom.

2.
# Pr2TlNi

A relaxed structure of Pr2TlNi (PBE-GGA, the Alexandria database).

The structure in extended XYZ format:
```
4
Lattice="3.986 0.000 0.000 1.993 3.452 0.000 1.993 1.151 8.448" Properties=species:S:1:pos:R:3 pbc="T T T"
Pr 5.978 3.452 6.778
Pr 1.993 1.151 1.669
Ni 0.000 0.000 0.000
Tl 3.986 2.301 4.224
```

The calculation puts the electronic total energy at -4.633 eV/atom. The excess energy over the best structure of this formula in the dataset comes out at 0.066 eV per atom. The value obtained for the energy of formation is -0.207 eV per atom.

3.
# La12SmIn4N3

A relaxed structure of La12SmIn4N3 (PBE-GGA, the Alexandria database).

The structure in extended XYZ format:
```
20
Lattice="9.040 0.000 0.000 -3.013 8.523 0.000 -3.013 -4.261 7.381" Properties=species:S:1:pos:R:3 pbc="T T T"
N 3.013 -2.131 3.691
N 3.013 4.261 0.000
N -3.013 2.131 3.691
La 4.520 0.000 3.691
La 1.652 -1.168 2.024
La -1.507 1.065 5.536
La 1.507 -1.065 5.536
La 4.520 3.196 1.845
La -1.507 4.261 3.691
La 1.652 2.337 0.000
La -4.374 3.093 5.357
La 1.507 5.327 1.845
La 4.374 6.186 0.000
La -1.652 1.168 2.024
La 4.374 -3.093 5.357
Sm 0.000 0.000 0.000
In 1.507 2.131 3.691
In -1.507 4.261 0.000
In 4.520 0.000 0.000
In -1.507 -2.131 3.691
```

The calculation puts the formation energy without anion corrections at -0.551 eV per atom. The calculation puts the electronic total energy at -5.540 eV/atom.

4.
# Hf4NpN4

A relaxed structure of Hf4NpN4 (PBE-GGA, the Alexandria database).

The structure in extended XYZ format:
```
9
Lattice="-1.173 -4.055 1.639 4.340 -3.624 0.395 0.369 -0.352 5.647" Properties=species:S:1:pos:R:3 pbc="T T T"
N 3.289 -4.329 4.153
N 2.521 -2.620 1.578
N 1.015 -5.412 6.103
N 0.246 -3.702 3.527
Hf 2.722 -6.369 4.956
Hf 1.916 -4.652 2.373
Hf 0.814 -1.662 2.724
Hf 1.619 -3.380 5.307
Np 0.000 0.000 0.000
```

The calculation puts the formation energy without anion corrections at -1.405 eV per atom. The calculation puts the electronic total energy at -10.966 eV/atom.

5.
# P2WCl

A relaxed structure of P2WCl (PBE-GGA, the Alexandria database).

The structure in extended XYZ format:
```
4
Lattice="-1.356 0.454 2.825 2.726 -0.744 1.428 1.845 6.466 -0.154" Properties=species:S:1:pos:R:3 pbc="T T T"
P 0.113 0.395 -0.009
P 0.810 2.838 -0.068
W 1.147 1.472 2.088
Cl 2.069 4.705 2.011
```

The calculation puts the formation energy without anion corrections at 0.125 eV per atom. The calculation puts the electronic total energy at -6.280 eV/atom. The excess energy over the best structure of this formula in the dataset comes out at 0.256 eV per atom.

6.
# PmLuZnPb

A relaxed structure of PmLuZnPb (PBE-GGA, the Alexandria database).

The structure in extended XYZ format:
```
4
Lattice="5.259 0.000 0.000 2.629 4.554 0.000 2.629 1.518 4.294" Properties=species:S:1:pos:R:3 pbc="T T T"
Lu 5.259 3.036 2.147
Pb 7.888 4.554 3.220
Zn 2.629 1.518 1.073
Pm 0.000 0.000 0.000
```

The calculation puts the electronic total energy at -3.906 eV/atom. The value obtained for the energy of formation is -0.343 eV per atom.

7.
# Cd2NiRh

A relaxed structure of Cd2NiRh (PBE-GGA, the Alexandria database).

The structure in extended XYZ format:
```
4
Lattice="-0.118 3.811 3.024 -1.864 1.507 4.235 3.315 -0.772 3.308" Properties=species:S:1:pos:R:3 pbc="T T T"
Ni 0.333 1.137 2.642
Cd 0.626 2.323 5.319
Cd -1.941 5.269 7.224
Rh 1.000 3.410 7.925
```

The calculation puts the electronic total energy at -3.639 eV/atom. The value obtained for the energy of formation is 0.102 eV per atom.

8.
# KCaBe

A relaxed structure of KCaBe (PBE-GGA, the Alexandria database).

The structure in extended XYZ format:
```
3
Lattice="5.395 0.000 0.000 2.698 4.672 0.000 2.698 1.557 4.405" Properties=species:S:1:pos:R:3 pbc="T T T"
Be 0.000 0.000 0.000
Ca 5.395 3.115 2.203
K 8.093 4.672 3.304
```

The calculation puts the electronic total energy at -1.108 eV/atom. The excess energy over the best structure of this formula in the dataset comes out at 0.605 eV per atom. The value obtained for the energy of formation is 1.167 eV per atom.